A relaxed structure of CsRb2AsS. Source: the Alexandria database, functional GGA-PBE.

Properties
raw total energy	-2.390	eV per atom
Fermi-level density of states	1.4614	states/eV per atom
space group	No. 123
M_tot	1.04	μB per formula unit

Lattice parameters (Å, degrees): 6.625 6.192 6.625 90.00 90.00 90.00
Positions (direct):
Rb 0.500 0.000 0.000
Rb 0.000 0.000 0.500
Cs 0.000 0.500 0.000
As 0.000 0.000 0.000
S 0.500 0.500 0.500


A relaxed structure of Cs2RbAs2S6. Source: the Alexandria database, functional GGA-PBE.

Properties
raw total energy	-3.899	eV per atom
Fermi-level density of states	0.4311	states/eV per atom
space group	No. 12
M_tot	0.66	μB per formula unit

Lattice parameters (Å, degrees): 7.367 7.365 10.361 110.92 90.00 120.01
Positions (direct):
S 0.238 0.476 0.218
S 0.260 0.021 0.782
S 0.740 0.979 0.218
S 0.238 0.979 0.218
S 0.762 0.021 0.782
S 0.762 0.524 0.782
Cs 0.290 0.579 0.867
Cs 0.710 0.421 0.133
Rb 0.500 0.000 0.500
As 0.084 0.168 0.253
As 0.916 0.832 0.747


A relaxed structure of CsRbAsS3. Source: the Alexandria database, functional GGA-PBE.

Properties
raw total energy	-3.885	eV per atom
space group	No. 12
M_tot	0.00	μB per formula unit

Lattice parameters (Å, degrees): 7.519 7.519 9.185 98.43 98.43 67.14
Positions (direct):
As 0.974 0.974 0.857
As 0.026 0.026 0.143
Cs 0.342 0.342 0.075
Cs 0.658 0.658 0.925
S 0.876 0.876 0.232
S 0.902 0.337 0.204
S 0.098 0.663 0.796
S 0.337 0.902 0.204
S 0.124 0.124 0.768
S 0.663 0.098 0.796
Rb 0.236 0.764 0.500
Rb 0.764 0.236 0.500


A relaxed structure of CsRbSbAs. Source: the Alexandria database, functional GGA-PBE.

Properties
raw total energy	-2.926	eV per atom
Fermi-level density of states	0.4477	states/eV per atom
space group	No. 44
M_tot	0.00	μB per formula unit

Lattice parameters (Å, degrees): 4.737 6.452 7.345 116.05 108.81 90.00
Positions (direct):
Rb 0.860 0.860 0.720
Cs 0.531 0.531 0.062
Sb 0.743 0.243 0.485
As 0.135 0.135 0.271


In order of appearance, formation energy from raw total energies = -0.08; -0.56; -0.74; -0.28 eV per atom.